# 1
Density functional theory data (SCAN) for a PBEsol-optimized structure of Er2SbO2.

The space group is I4/mmm (139). Its energy relative to the elements, uncorrected is -3.016 eV per atom.

Lattice parameters (Å, degrees): 3.7672 3.7658 7.0267 105.54 105.55 90.00
With the nearest neighbours (Å) after each atom.
Sites, in units of the cell vectors:
Sb 0.9852 0.0000 0.0000  8 Er 3.42-3.43, 8 O 3.76, 4 Sb 3.77
O 0.7350 0.2500 0.5000  4 Er 2.18
O 0.2349 0.7500 0.5000  4 Er 2.18
Er 0.6506 0.6657 0.3313  4 O 2.18
Er 0.3193 0.3344 0.6687  4 O 2.18

=====

# 2
Density functional theory data (SCAN) for a PBEsol-optimized structure of MnBeSe.

The space group is I4mm (107). Its energy relative to the elements, uncorrected is 0.098 eV per atom.

Lattice parameters (Å, degrees): 3.0434 3.0434 4.2084 111.20 111.20 90.00
With the nearest neighbours (Å) after each atom.
Sites, in units of the cell vectors:
Be 0.0046 0.0046 0.0091  5 Se 2.35-2.50, 5 Mn 2.45
Mn 0.6661 0.6661 0.3322  5 Se 2.44-2.45, 5 Be 2.45
Se 0.3294 0.3294 0.6587  5 Be 2.35-2.50, 5 Mn 2.44-2.45

=====

# 3
Density functional theory data (SCAN) for a PBEsol-optimized structure of BaCoRu2.

The calculation puts the formation energy at 0.638 eV/atom. The space group is P4mm (99). The value obtained for the energy above the most stable polymorph in this dataset is 0.000 eV/atom.

Lattice parameters (Å, degrees): 3.0841 3.0841 7.5571 90.00 90.00 90.00
With the nearest neighbours (Å) after each atom.
Sites, in units of the cell vectors:
Ru 0.0000 0.0000 0.9879  4 Co 2.47, 4 Ru 2.59
Ru 0.5000 0.5000 0.1724  1 Co 2.56, 4 Ru 2.59
Co 0.5000 0.5000 0.8334  5 Ru 2.47-2.56
Ba 0.0000 0.0000 0.5063  4 Ba 3.08, 4 Co 3.30, 4 Ru 3.34

=====

no.,DFT total energy (eV per atom)
1,-33.0969
2,-14.1311
3,-30.9883